1.
# Hf6GaSb3

A relaxed Hf6GaSb3 crystal (PBE, the Alexandria database).

Cell: 9.8398 13.9180 7.0224 Å, 90.00 90.00 90.00°
Space group Cmc2_1 (No. 36)
Asymmetric unit:
Hf (0.0000, 0.0157, 0.0000) [4 per cell]
Hf (0.0000, 0.2519, 0.3719) [4 per cell]
Hf (0.1743, 0.2550, 0.9901) [8 per cell]
Hf (0.1746, 0.4327, 0.4075) [8 per cell]
Ga (0.0000, 0.1592, 0.7293) [4 per cell]
Sb (0.0000, 0.4193, 0.0741) [4 per cell]
Sb (0.1920, 0.0976, 0.2649) [8 per cell]

* E_form (uncorrected): -0.189 eV/atom



2.
# MnReBr

A relaxed MnReBr crystal (PBE, the Alexandria database).

Cell: 4.3452 4.3452 2.9691 Å, 90.00 90.00 120.00°
Space group P-6m2 (No. 187)
Asymmetric unit:
Mn (0.0000, 0.0000, 0.0000) [1 per cell]
Re (0.6667, 0.3333, 0.5000) [1 per cell]
Br (0.3333, 0.6667, 0.5000) [1 per cell]

* distance to the lowest polymorph of the same formula: 0.428 eV per atom
* E_form (uncorrected): 1.013 eV/atom



3.
# ZnCo2Os

A relaxed ZnCo2Os crystal (PBE, the Alexandria database).

Cell: 2.6333 3.5683 5.2091 Å, 90.00 90.00 90.00°
Space group Pmmm (No. 47)
Asymmetric unit:
Zn (0.0000, 0.0000, 0.0000) [1 per cell]
Co (0.5000, 0.5000, 0.2606) [2 per cell]
Os (0.0000, 0.0000, 0.5000) [1 per cell]

* formation energy from the elements: 0.1057 eV per atom



4.
# AgH6Pd4

A relaxed AgH6Pd4 crystal (PBE, the Alexandria database).

Cell: 4.6378 5.0827 5.5296 Å, 66.17 65.64 65.39°
Space group P1 (No. 1)
Asymmetric unit:
Ag (0.0000, 0.0000, 0.0000) [1 per cell]
H (0.1384, 0.7533, 0.6691) [1 per cell]
H (0.1764, 0.1856, 0.1735) [1 per cell]
H (0.3255, 0.5904, 0.1594) [1 per cell]
H (0.4771, 0.0515, 0.4349) [1 per cell]
H (0.6374, 0.3238, 0.5494) [1 per cell]
H (0.8058, 0.5041, 0.7582) [1 per cell]
Pd (0.0572, 0.3784, 0.4452) [1 per cell]
Pd (0.4017, 0.4254, 0.8743) [1 per cell]
Pd (0.4266, 0.8034, 0.3205) [1 per cell]
Pd (0.7181, 0.9034, 0.6701) [1 per cell]



5.
# TbSmZn

A relaxed TbSmZn crystal (PBE, the Alexandria database).

Cell: 7.0737 7.0737 7.0737 Å, 90.00 90.00 90.00°
Space group F-43m (No. 216)
Asymmetric unit:
Tb (0.0000, 0.0000, 0.0000) [4 per cell]
Sm (0.0000, 0.0000, 0.5000) [4 per cell]
Zn (0.2500, 0.2500, 0.2500) [4 per cell]

* distance to the lowest polymorph of the same formula: 0.236 eV per atom
* formation energy from the elements: 0.0302 eV per atom



6.
# TbHo3Fe8

A relaxed TbHo3Fe8 crystal (PBE, the Alexandria database).

Cell: 5.1187 5.1187 25.0816 Å, 90.00 90.00 120.00°
Space group R3m (No. 160, hexagonal axes)
Asymmetric unit:
Tb (0.0000, 0.0000, 0.0000) [3 per cell]
Ho (0.0000, 0.0000, 0.3750) [3 per cell]
Ho (0.0000, 0.0000, 0.5000) [3 per cell]
Ho (0.0000, 0.0000, 0.8748) [3 per cell]
Fe (0.0000, 0.0000, 0.1873) [3 per cell]
Fe (0.0000, 0.0000, 0.6876) [3 per cell]
Fe (0.9996, 0.4998, 0.9371) [9 per cell]
Fe (0.0005, 0.5003, 0.4378) [9 per cell]

* formation energy from the elements: -0.0974 eV per atom



| no. | spin magnetization (μB per formula unit) | total DFT energy (no corrections) (eV/atom) |
| --- | --- | --- |
| 1 | 0.0 | -7.70 |
| 2 | 2.8 | -6.75 |
| 3 | 0.0 | -6.57 |
| 4 | 0.0 | -3.98 |
| 5 | 0.0 | -3.51 |
| 6 | 13.4 | -7.27 |